This record from Alexandria describes LuAlAu after structural relaxation. The functional is GGA-PBEsol.

Cell: 7.2190 7.2190 3.8557 Å, 90.00 90.00 120.00°
Space group P-62m (No. 189)
Inequivalent atoms, fractional coordinates:
Lu 0.0000 0.4098 0.0000 x3
Al 0.0000 0.7496 0.5000 x3
Au 0.0000 0.0000 0.0000 x1
Au 0.3333 0.6667 0.5000 x2

* calculated volume: 19.335 Å³/atom
* E_tot: -5.136 eV per atom
* total moment: 0.00 μB/cell